# 1
Material: Tl5VCl8
Method: DFT, GGA-PBE
State: optimized geometry

```
14
Lattice="-3.5831 5.6977 -6.1666 7.4274 -4.6361 -2.5826 -6.4257 -6.2566 1.7010" Properties=species:S:1:pos:R:3 pbc="T T T"
Tl -1.1433 -2.1148 -4.7040
Tl -6.4603 -2.6703 -4.5011
Tl 4.8527 -2.2558 -4.7635
Tl -2.4120 -3.3492 -0.1277
Tl 1.9221 0.5308 -4.3746
Cl 2.1442 -2.0630 -5.9900
Cl 3.6281 -4.6486 -2.8595
Cl -3.7083 -2.8510 -3.3736
Cl -1.1251 0.8341 -4.2784
Cl 0.5492 -3.4277 -1.5686
Cl 1.4667 -7.1849 -1.6213
Cl -2.4738 -6.3101 -0.4543
Cl 0.2036 -5.4625 -4.4629
V 1.4619 -5.1809 -2.6281
```

Values from the calculation:
VASP energy in eV per cell: -49.9
Space group: I-4 (82)
Mass density in Mg/m³: 3.9
Formation energy without anion corrections in eV per atom: -1.016

# 2
Material: ErSn3Rh3
Method: DFT, GGA-PBE
State: optimized geometry

```
14
Lattice="7.1430 0.0000 0.0000 0.0000 7.1430 0.0000 0.0000 0.0000 7.1430" Properties=species:S:1:pos:R:3 pbc="T T T"
Rh 3.5715 0.0000 5.3572
Rh 3.5715 0.0000 1.7857
Rh 0.0000 1.7857 3.5715
Rh 5.3572 3.5715 0.0000
Rh 1.7857 3.5715 0.0000
Rh 0.0000 5.3572 3.5715
Sn 3.5715 1.7857 0.0000
Sn 3.5715 5.3572 0.0000
Sn 0.0000 3.5715 5.3572
Sn 1.7857 0.0000 3.5715
Sn 0.0000 3.5715 1.7857
Sn 5.3572 0.0000 3.5715
Er 0.0000 0.0000 0.0000
Er 3.5715 3.5715 3.5715
```

Values from the calculation:
ΔH_f (0 K) in eV per atom: 0.06
VASP energy in eV per cell: -76.4
Space group: Pm-3n (223)
Mass density in Mg/m³: 7.6

# 3
Material: RbH2IO
Method: DFT, GGA-PBE
State: optimized geometry

```
10
Lattice="4.5394 0.0000 0.0000 -2.2697 6.6499 0.0000 0.0000 0.0000 7.5207" Properties=species:S:1:pos:R:3 pbc="T T T"
H 0.0000 0.7805 4.3255
H 2.2697 5.8694 3.1952
H 2.2697 5.8694 0.5652
H 0.0000 0.7805 6.9555
I 0.0000 4.3818 1.8802
I 2.2697 2.2681 5.6405
O 0.0000 0.0000 3.7603
O 0.0000 0.0000 0.0000
Rb 2.2697 1.4426 1.8802
Rb 0.0000 5.2073 5.6405
```

Values from the calculation:
VASP energy in eV per cell: -37.8
Space group: Cmcm (63)
Mass density in Mg/m³: 3.4

# 4
Material: LiDyTl4
Method: DFT, GGA-PBE
State: optimized geometry

```
6
Lattice="4.6977 0.0001 -0.0015 -0.0001 4.7002 -0.0020 0.0033 0.0053 7.7195" Properties=species:S:1:pos:R:3 pbc="T T T"
Tl 2.3555 4.6880 2.1980
Tl 0.0088 2.3418 5.4873
Tl 2.3569 4.6916 5.4870
Tl 0.0068 2.3393 2.2012
Li 0.0076 4.6902 3.8440
Dy 2.3585 2.3419 7.7032
```

Values from the calculation:
ΔH_f (0 K) in eV per atom: 0.00
VASP energy in eV per cell: -16.0
Space group: P4/mmm (123)
Mass density in Mg/m³: 9.6
ΔE to the lowest computed polymorph in meV per atom: 122.4

# 5
Material: AcHfSc
Method: DFT, GGA-PBE
State: optimized geometry

```
6
Lattice="3.4769 0.0000 0.0000 -1.7384 3.0111 0.0000 0.0000 0.0000 16.5591" Properties=species:S:1:pos:R:3 pbc="T T T"
Ac 0.0000 2.0074 12.7431
Ac 0.0000 2.0074 2.1292
Hf 1.7384 1.0037 9.8725
Hf 1.7384 1.0037 4.9989
Sc 1.7384 1.0037 15.7172
Sc 0.0000 2.0074 7.4354
```

Values from the calculation:
ΔH_f (0 K) in eV per atom: 0.32
VASP energy in eV per cell: -38.9
Space group: P-6m2 (187)
Mass density in Mg/m³: 8.6

# 6
Material: Cu4SiAu7
Method: DFT, GGA-PBE
State: optimized geometry

```
12
Lattice="-2.0023 1.7871 -3.8261 1.8833 -4.7424 -6.0549 -5.7941 -2.4956 -0.9877" Properties=species:S:1:pos:R:3 pbc="T T T"
Au -1.0012 0.8935 -1.9131
Au -3.7808 -3.8534 -5.5299
Au 0.1994 -3.5280 -4.6065
Au -6.1125 -1.9229 -6.2623
Au -2.1323 -1.5976 -5.3389
Au -3.1772 -4.1103 -8.8201
Au -2.7359 -1.3407 -2.0487
Cu -1.4828 -3.8318 -6.7224
Cu -5.5546 -4.1347 -7.5873
Cu -4.4303 -1.6191 -4.1464
Cu -0.3585 -1.3163 -3.2815
Si 0.0000 0.0000 0.0000
```

Values from the calculation:
VASP energy in eV per cell: -43.3
Space group: C2/m (12)
Mass density in Mg/m³: 13.1
Formation energy without anion corrections in eV per atom: 0.123